(1)
VASP calculation (PBE) on a geometry-optimized BW10N15 structure.

Summary:
**Crystal system**: orthorhombic
**Energy**: -0.3708 Ha/atom

a b c (Å): 7.7999 7.7999 9.6128
angles (deg): 90.00 90.00 84.49
Last column: nearest neighbours and their distance in Å.
Positions (direct):
B 0.5000 0.5000 0.0000  2 N 2.42
B 0.0000 0.0000 0.5000  2 N 2.42
N 0.0000 0.0000 0.0000  4 W 2.15
N 0.2906 0.2906 0.0000  2 W 2.00
N 0.7094 0.7094 0.0000  2 W 2.00
N 0.1217 0.6502 0.0040  4 W 2.01-2.12
N 0.3498 0.8783 0.0040  4 W 2.01-2.12
N 0.0281 0.2179 0.2365  4 W 2.05-2.17
N 0.7821 0.9719 0.2365  4 W 2.05-2.17
N 0.1432 0.8568 0.2472  1 W 1.81
N 0.4247 0.0753 0.2500  4 W 2.05-2.22
N 0.9247 0.5753 0.2500  4 W 2.05-2.22
N 0.6432 0.3568 0.2528  1 W 1.81
N 0.2821 0.4719 0.2635  4 W 2.05-2.17
N 0.5281 0.7179 0.2635  4 W 2.05-2.17
N 0.6217 0.1502 0.4960  4 W 2.01-2.12
N 0.8498 0.3783 0.4960  4 W 2.01-2.12
N 0.2094 0.2094 0.5000  2 W 2.00
N 0.5000 0.5000 0.5000  4 W 2.15
N 0.7906 0.7906 0.5000  2 W 2.00
N 0.1502 0.6217 0.5040  4 W 2.01-2.12
N 0.3783 0.8498 0.5040  4 W 2.01-2.12
N 0.4719 0.2821 0.7365  4 W 2.05-2.17
N 0.7179 0.5281 0.7365  4 W 2.05-2.17
N 0.3568 0.6432 0.7472  1 W 1.81
N 0.0753 0.4247 0.7500  4 W 2.05-2.22
N 0.5753 0.9247 0.7500  4 W 2.05-2.22
N 0.8568 0.1432 0.7528  1 W 1.81
N 0.2179 0.0281 0.7635  4 W 2.05-2.17
N 0.9719 0.7821 0.7635  4 W 2.05-2.17
N 0.6502 0.1217 0.9960  4 W 2.01-2.12
N 0.8783 0.3498 0.9960  4 W 2.01-2.12
W 0.0977 0.4214 0.1030  6 N 2.00-2.22
W 0.5786 0.9023 0.1030  6 N 2.00-2.22
W 0.2116 0.0680 0.1254  6 N 2.05-2.25
W 0.9320 0.7884 0.1254  6 N 2.05-2.25
W 0.7887 0.2113 0.1510  3 N 1.81-2.01
W 0.2887 0.7113 0.3490  3 N 1.81-2.01
W 0.4320 0.2884 0.3746  6 N 2.05-2.25
W 0.7116 0.5680 0.3746  6 N 2.05-2.25
W 0.0786 0.4023 0.3970  6 N 2.00-2.22
W 0.5977 0.9214 0.3970  6 N 2.00-2.22
W 0.4023 0.0786 0.6030  6 N 2.00-2.22
W 0.9214 0.5977 0.6030  6 N 2.00-2.22
W 0.2884 0.4320 0.6254  6 N 2.05-2.25
W 0.5680 0.7116 0.6254  6 N 2.05-2.25
W 0.7113 0.2887 0.6510  3 N 1.81-2.01
W 0.2113 0.7887 0.8490  3 N 1.81-2.01
W 0.0680 0.2116 0.8746  6 N 2.05-2.25
W 0.7884 0.9320 0.8746  6 N 2.05-2.25
W 0.4214 0.0977 0.8970  6 N 2.00-2.22
W 0.9023 0.5786 0.8970  6 N 2.00-2.22

(2)
VASP calculation (PBE) on a geometry-optimized Tb2HoGa3Si2Ni structure.

Summary:
**Crystal system**: orthorhombic
**Energy**: -0.1860 Ha/atom

a b c (Å): 4.1532 6.8750 6.8750
angles (deg): 119.89 90.00 90.00
Last column: nearest neighbours and their distance in Å.
Positions (direct):
Ga 0.5000 0.2361 0.0009  2 Ni 2.63, 2 Si 2.68-2.71, 2 Ga 2.80-2.81
Ga 0.5000 0.0009 0.2361  2 Ni 2.63, 2 Si 2.68-2.71, 2 Ga 2.80-2.81
Ga 0.5000 0.7639 0.7639  2 Ni 2.65, 2 Si 2.68, 2 Ga 2.81
Ho 0.0000 0.4026 0.4026  1 Ni 2.76, 4 Si 2.94
Ni 0.0000 0.0018 0.0018  6 Ga 2.63-2.65, 1 Ho 2.76, 2 Tb 2.78
Si 0.5000 0.6649 0.3340  3 Ga 2.68-2.71, 2 Ho 2.94, 4 Tb 2.95-2.96
Si 0.5000 0.3340 0.6649  3 Ga 2.68-2.71, 2 Ho 2.94, 4 Tb 2.95-2.96
Tb 0.0000 0.9997 0.5962  1 Ni 2.78, 4 Si 2.95-2.96
Tb 0.0000 0.5962 0.9997  1 Ni 2.78, 4 Si 2.95-2.96

(3)
VASP calculation (PBE) on a geometry-optimized YErNCl3 structure.

Summary:
**Crystal system**: monoclinic
**Energy**: -0.2301 Ha/atom

a b c (Å): 8.1650 8.1650 10.4961
angles (deg): 119.64 119.64 27.01
Last column: nearest neighbours and their distance in Å.
Positions (direct):
Cl 0.2251 0.2251 0.1157  2 Y 2.75, 1 Er 2.85
Cl 0.9517 0.9517 0.2579  2 Y 2.75, 1 Er 2.76
Cl 0.3347 0.3347 0.4847  3 Er 2.74-2.86
Cl 0.6653 0.6653 0.5153  3 Er 2.74-2.86
Cl 0.0483 0.0483 0.7421  2 Y 2.75, 1 Er 2.76
Cl 0.7749 0.7749 0.8843  2 Y 2.75, 1 Er 2.85
Er 0.1366 0.1366 0.2936  2 N 2.27
Er 0.8634 0.8634 0.7064  2 N 2.27
N 0.5770 0.5770 0.1591  2 Y 2.24, 2 Er 2.27
N 0.4230 0.4230 0.8409  2 Y 2.24, 2 Er 2.27
Y 0.4135 0.4135 0.0470  2 N 2.24
Y 0.5865 0.5865 0.9530  2 N 2.24

(4)
VASP calculation (PBE) on a geometry-optimized KCo3S5 structure.

Summary:
**Crystal system**: hexagonal
**Energy**: -0.1908 Ha/atom

a b c (Å): 5.3167 5.3167 6.8195
angles (deg): 90.00 90.00 120.00
Last column: nearest neighbours and their distance in Å.
Positions (direct):
Co 0.5000 0.0000 0.5000  4 S 2.20
Co 0.0000 0.5000 0.5000  4 S 2.20
Co 0.5000 0.5000 0.5000  4 S 2.20
K 0.0000 0.0000 0.0000  14 S 3.41-3.58
S 0.6667 0.3333 0.2695  3 Co 2.20
S 0.3333 0.6667 0.2695  3 Co 2.20
S 0.0000 0.0000 0.5000  6 Co 2.66
S 0.6667 0.3333 0.7305  3 Co 2.20
S 0.3333 0.6667 0.7305  3 Co 2.20

- Among the records above, which one has the lowest energy?
  BW10N15

- Number 2 is which compound?
  Tb2HoGa3Si2Ni